TiMo2SO: optimized geometry, PBE with a Hubbard U.

POSCAR file:
```
TiMo2SO
1.0
4.067 0.000 0.000
0.000 4.067 0.000
0.000 0.000 5.509
Ti Mo S O
1 2 1 1
Cartesian
0.000 0.000 0.000
0.000 2.034 2.754
2.034 0.000 2.754
2.034 2.034 0.000
2.034 2.034 2.754
```

Calculated values
The calculation puts the total energy at -5.9604 eV per atom.